Entry 1:
Here is a geometry-optimized NaInPt structure from the Alexandria database. Energies are from PBE.

Cell and atoms, written as extended XYZ:
```
3
Lattice="3.060 0.000 0.000 0.000 4.775 0.000 0.000 -2.387 4.135" Properties=species:S:1:pos:R:3 pbc="T T T"
In 0.503 0.000 0.000
Na 2.039 0.000 2.757
Pt 0.518 2.387 1.378
```

Summary:
- symmetry = P3m1, No. 156
- DOS at the Fermi energy (states/eV per atom) = 0.3996
- energy of formation (eV per formula unit) = -0.820

Entry 2:
Here is a geometry-optimized NaIn3Pt2 structure from the Alexandria database. Energies are from PBE.

Cell and atoms, written as extended XYZ:
```
12
Lattice="6.936 0.000 0.000 0.000 7.783 0.000 -3.468 -3.891 5.251" Properties=species:S:1:pos:R:3 pbc="T T T"
Pt -2.169 3.891 4.590
Na 1.199 0.000 2.625
Pt -1.299 0.000 4.590
In 0.000 2.336 0.000
In 3.468 6.227 0.000
In -1.734 -1.946 2.625
In 3.468 1.555 0.000
Na 2.269 3.891 2.625
Pt 5.638 0.000 0.661
In -1.734 1.946 2.625
Pt 4.767 3.891 0.661
In 0.000 5.447 0.000
```

Summary:
- symmetry = Imma, No. 74
- DOS at the Fermi energy (states/eV per atom) = 0.3448
- energy of formation (eV per formula unit) = -2.154

Entry 3:
Here is a geometry-optimized NaIn3Pt structure from the Alexandria database. Energies are from PBE.

Cell and atoms, written as extended XYZ:
```
5
Lattice="-1.873 3.778 -3.155 -4.848 -1.999 0.484 -0.850 3.077 4.188" Properties=species:S:1:pos:R:3 pbc="T T T"
Na 0.000 0.000 0.000
In -2.424 -0.999 0.242
Pt -3.785 2.428 0.759
In -0.425 1.538 2.094
In -0.936 1.889 -1.578
```

Summary:
- symmetry = Pm-3m, No. 221
- ΔE to the lowest computed polymorph (eV/atom) = 1.1988
- DOS at the Fermi energy (states/eV per atom) = 0.7585
- energy of formation (eV per formula unit) = 4.390

Entry 4:
Here is a geometry-optimized NaIn6Pt4 structure from the Alexandria database. Energies are from PBE.

Cell and atoms, written as extended XYZ:
```
11
Lattice="6.201 -0.247 -3.423 -3.983 5.857 -0.236 -0.168 0.247 7.081" Properties=species:S:1:pos:R:3 pbc="T T T"
Pt 2.374 2.301 0.527
In 3.017 0.000 1.829
In 0.224 2.738 1.983
Na 0.000 0.000 0.000
Pt -1.094 1.609 4.166
Pt -0.962 4.496 3.949
In 3.573 0.552 -1.440
In -3.608 5.306 3.598
Pt -2.418 3.556 1.626
In 1.109 2.805 -1.829
In -2.289 3.366 6.127
```

Summary:
- symmetry = I-42m, No. 121
- DOS at the Fermi energy (states/eV per atom) = 0.5017
- energy of formation (eV per formula unit) = -4.962

Entry 5:
Here is a geometry-optimized Na4In5Pt3 structure from the Alexandria database. Energies are from PBE.

Cell and atoms, written as extended XYZ:
```
12
Lattice="5.055 0.000 0.000 -2.528 7.084 -3.081 0.000 0.073 7.754" Properties=species:S:1:pos:R:3 pbc="T T T"
In 0.000 0.036 3.877
Na 0.000 2.669 2.156
In 0.000 6.270 3.437
Na 0.000 1.531 6.786
Na 2.528 5.626 -2.113
In 0.000 4.553 -0.321
Pt 2.528 0.036 3.877
Pt 2.528 3.258 -0.092
Na 2.528 4.488 2.517
Pt 0.000 3.899 4.765
In 2.528 2.604 4.994
In 2.528 0.887 1.236
```

Summary:
- symmetry = C2/m, No. 12
- DOS at the Fermi energy (states/eV per atom) = 0.3445
- energy of formation (eV per formula unit) = -3.463

Entry 6:
Here is a geometry-optimized Na2InPt structure from the Alexandria database. Energies are from PBE.

Cell and atoms, written as extended XYZ:
```
4
Lattice="3.089 0.000 0.000 1.544 2.675 0.000 1.544 0.892 10.958" Properties=species:S:1:pos:R:3 pbc="T T T"
Pt 3.089 1.783 5.479
Na 1.544 0.892 7.765
Na 4.633 2.675 3.193
In 0.000 0.000 0.000
```

Summary:
- symmetry = R-3m, No. 166
- DOS at the Fermi energy (states/eV per atom) = 0.5455
- energy of formation (eV per formula unit) = 0.178

Entry 7:
Here is a geometry-optimized NaInPt structure from the Alexandria database. Energies are from PBE.

Cell and atoms, written as extended XYZ:
```
3
Lattice="-3.160 -2.895 -1.719 1.335 -3.762 -2.319 -0.558 -4.184 1.871" Properties=species:S:1:pos:R:3 pbc="T T T"
Pt -0.596 -2.710 -0.542
Na -1.191 -5.420 -1.084
In 0.000 0.000 0.000
```

Summary:
- symmetry = F-43m, No. 216
- DOS at the Fermi energy (states/eV per atom) = 0.4127
- energy of formation (eV per formula unit) = -0.826

Entry 8:
Here is a geometry-optimized NaIn8Pt6 structure from the Alexandria database. Energies are from PBE.

Cell and atoms, written as extended XYZ:
```
15
Lattice="6.661 -0.042 2.889 1.880 6.391 2.889 -0.056 -0.042 7.261" Properties=species:S:1:pos:R:3 pbc="T T T"
In 2.267 5.071 5.744
In 6.219 1.237 7.296
Pt 4.028 4.515 3.621
Pt 7.396 3.752 6.559
In 3.021 0.709 7.363
Pt 4.458 1.792 9.419
In 5.465 5.598 5.677
In 2.826 2.100 4.342
Pt 3.678 6.001 7.891
In 6.105 2.688 4.399
In 2.381 3.619 8.641
Pt 1.090 2.555 6.481
Pt 4.808 0.307 5.149
Na 0.000 0.000 0.000
In 5.660 4.207 8.698
```

Summary:
- symmetry = R-3, No. 148
- DOS at the Fermi energy (states/eV per atom) = 0.2541
- energy of formation (eV per formula unit) = -7.103